## FePd5Au8 (GGA-PBE)

Data for FePd5Au8 after structural relaxation. Values from VASP.

```
&SYSTEM
  ibrav = 0, nat = 14, ntyp = 3
/
ATOMIC_SPECIES
Au 196.97 Au.upf
Pd 106.42 Pd.upf
Fe 55.84 Fe.upf
ATOMIC_POSITIONS angstrom
Au 4.893 -1.813 4.283
Au 0.327 0.384 1.918
Au 1.315 0.083 4.604
Au 0.463 2.870 4.997
Au -1.041 4.941 0.025
Au 0.980 3.127 0.976
Au 4.276 0.112 2.235
Au -1.928 3.061 3.408
Pd 5.263 2.203 0.753
Pd 2.321 -1.632 2.806
Pd 2.613 1.029 0.286
Pd 3.439 4.363 1.542
Pd 2.405 2.053 3.030
Fe -1.109 0.780 4.209
CELL_PARAMETERS angstrom
6.860 0.000 0.000
-2.321 6.456 0.000
-2.218 -3.264 5.611
```

Properties
The value obtained for the calculated total energy is -59.2 eV/cell. The crystal system is tetragonal. Its density of states at the Fermi level is 8.48 states/eV/cell. As for the magnetic moment: 0.2748 μB/atom.